Material: Ac2SbF11
Method: DFT, PBE
State: relaxed

## Properties
Energy relative to the elements, uncorrected, meV/atom: -3259
Crystal system: orthorhombic

Cell lengths 8.7985, 8.8620, 8.8620 Å; angles 75.55, 60.24, 60.24 degrees
Element x y z (fractional)
Ac: 0.6478 0.6838 0.3162
Ac: 0.3522 0.3162 0.6838
Ac: 0.8522 0.1838 0.8162
Ac: 0.1478 0.8162 0.1838
Sb: 0.7500 0.7500 0.7500
Sb: 0.2500 0.2500 0.2500
F: 0.6776 0.7046 0.5869
F: 0.3224 0.2954 0.4131
F: 0.0308 0.5869 0.7046
F: 0.8224 0.9131 0.7954
F: 0.9692 0.4131 0.2954
F: 0.1776 0.0869 0.2046
F: 0.4692 0.7954 0.9131
F: 0.5308 0.2046 0.0869
F: 0.5000 0.5000 0.5000
F: 0.0000 0.0000 0.0000
F: 0.8787 0.7870 0.2130
F: 0.1213 0.2130 0.7870
F: 0.6213 0.2870 0.7130
F: 0.3787 0.7130 0.2870
F: 0.4264 0.0044 0.3049
F: 0.5736 0.9956 0.6951
F: 0.2644 0.3049 0.0044
F: 0.0736 0.1951 0.4956
F: 0.7356 0.6951 0.9956
F: 0.9264 0.8049 0.5044
F: 0.2356 0.4956 0.1951
F: 0.7644 0.5044 0.8049